A plane-wave DFT calculation with PBE was carried out for a relaxed KNa2HfMn crystal.

Geometry as CIF:
```
data_KNa2HfMn
_chemical_formula_sum 'K1 Na2 Hf1 Mn1'
_space_group_name_H-M_alt 'P 4/m m m'
_space_group_IT_number 123
_space_group_name_Hall '-P 4 2'
_cell_length_a 5.988
_cell_length_b 5.988
_cell_length_c 6.269
_cell_angle_alpha 90.00
_cell_angle_beta 90.00
_cell_angle_gamma 90.00
loop_
_atom_site_label
_atom_site_fract_x
_atom_site_fract_y
_atom_site_fract_z
_atom_site_occupancy
K1 0.000 0.000 0.000 1
Na1 0.000 0.500 0.500 1
Hf1 0.000 0.000 0.500 1
Mn1 0.500 0.500 0.000 1
```

Computed properties:
Calculated formation energy in eV per atom: 1.74
Calculated volume in Å³/atom: 44.95